1.
Computed, not measured: a relaxed structure of LaTlCd3 at the GGA-PBEsol level of DFT.

```
data_LaTlCd3
_cell_length_a 5.3390
_cell_length_b 5.3390
_cell_length_c 5.3390
_cell_angle_alpha 90.00
_cell_angle_beta 90.00
_cell_angle_gamma 90.00
_space_group_name_H-M_alt 'P m -3 m'
_space_group_IT_number 221
_space_group_name_Hall '-P 4 2 3'
loop_
_atom_site_label
_atom_site_type_symbol
_atom_site_fract_x
_atom_site_fract_y
_atom_site_fract_z
_atom_site_occupancy
La1 La 0.0000 0.0000 0.0000 1
Tl1 Tl 0.5000 0.5000 0.5000 1
Cd1 Cd 0.0000 0.5000 0.5000 1
```

Summary:
E_form (eV/atom): 0.322
Crystal system: cubic
Magnetic moment (μB per formula unit): 0.00
Calculated volume (Å³/cell): 152.2

***

2.
Computed, not measured: a relaxed structure of LaTlCd at the GGA-PBEsol level of DFT.

```
data_LaTlCd
_cell_length_a 7.1172
_cell_length_b 7.1172
_cell_length_c 7.1172
_cell_angle_alpha 90.00
_cell_angle_beta 90.00
_cell_angle_gamma 90.00
_space_group_name_H-M_alt 'F -4 3 m'
_space_group_IT_number 216
_space_group_name_Hall 'F -4 2 3'
loop_
_atom_site_label
_atom_site_type_symbol
_atom_site_fract_x
_atom_site_fract_y
_atom_site_fract_z
_atom_site_occupancy
La1 La 0.0000 0.0000 0.0000 1
Tl1 Tl 0.2500 0.2500 0.7500 1
Cd1 Cd 0.0000 0.0000 0.5000 1
```

Summary:
E_form (eV/atom): -0.306
Crystal system: cubic
Magnetic moment (μB per formula unit): 0.00
Calculated volume (Å³/cell): 360.5

***

3.
Computed, not measured: a relaxed structure of LaTlCd at the GGA-PBEsol level of DFT.

```
data_LaTlCd
_cell_length_a 5.0209
_cell_length_b 5.0209
_cell_length_c 3.6597
_cell_angle_alpha 90.00
_cell_angle_beta 90.00
_cell_angle_gamma 120.00
_space_group_name_H-M_alt 'P 3 m 1'
_space_group_IT_number 156
_space_group_name_Hall 'P 3 -2"'
loop_
_atom_site_label
_atom_site_type_symbol
_atom_site_fract_x
_atom_site_fract_y
_atom_site_fract_z
_atom_site_occupancy
La1 La 0.0000 0.0000 0.0000 1
Tl1 Tl 0.6667 0.3333 0.5013 1
Cd1 Cd 0.3333 0.6667 0.4997 1
```

Summary:
E_form (eV/atom): -0.402
Crystal system: trigonal
Magnetic moment (μB per formula unit): 0.00
Calculated volume (Å³/cell): 79.9

***

4.
Computed, not measured: a relaxed structure of La2Tl2Cd at the GGA-PBEsol level of DFT.

```
data_La2Tl2Cd
_cell_length_a 7.7555
_cell_length_b 7.7555
_cell_length_c 4.8356
_cell_angle_alpha 90.00
_cell_angle_beta 90.00
_cell_angle_gamma 90.00
_space_group_name_H-M_alt 'P 4/m b m'
_space_group_IT_number 127
_space_group_name_Hall '-P 4 2ab'
loop_
_atom_site_label
_atom_site_type_symbol
_atom_site_fract_x
_atom_site_fract_y
_atom_site_fract_z
_atom_site_occupancy
La1 La 0.1671 0.3329 0.0000 1
Tl1 Tl 0.1380 0.6380 0.5000 1
Cd1 Cd 0.0000 0.0000 0.5000 1
```

Summary:
E_form (eV/atom): -0.382
Crystal system: tetragonal
Magnetic moment (μB per formula unit): 0.00
Calculated volume (Å³/cell): 290.8

***

5.
Computed, not measured: a relaxed structure of LaTl3Cd at the GGA-PBEsol level of DFT.

```
data_LaTl3Cd
_cell_length_a 6.0446
_cell_length_b 6.0446
_cell_length_c 6.0446
_cell_angle_alpha 90.00
_cell_angle_beta 90.00
_cell_angle_gamma 90.00
_space_group_name_H-M_alt 'P m -3 m'
_space_group_IT_number 221
_space_group_name_Hall '-P 4 2 3'
loop_
_atom_site_label
_atom_site_type_symbol
_atom_site_fract_x
_atom_site_fract_y
_atom_site_fract_z
_atom_site_occupancy
La1 La 0.0000 0.0000 0.0000 1
Tl1 Tl 0.0000 0.0000 0.5000 1
Cd1 Cd 0.5000 0.5000 0.5000 1
```

Summary:
E_form (eV/atom): 0.730
Crystal system: cubic
Magnetic moment (μB per formula unit): 0.00
Calculated volume (Å³/cell): 220.9

***

6.
Computed, not measured: a relaxed structure of LaTlCd at the GGA-PBEsol level of DFT.

```
data_LaTlCd
_cell_length_a 4.9948
_cell_length_b 4.9948
_cell_length_c 7.4291
_cell_angle_alpha 90.00
_cell_angle_beta 90.00
_cell_angle_gamma 120.00
_space_group_name_H-M_alt 'P 63/m m c'
_space_group_IT_number 194
_space_group_name_Hall '-P 6c 2c'
loop_
_atom_site_label
_atom_site_type_symbol
_atom_site_fract_x
_atom_site_fract_y
_atom_site_fract_z
_atom_site_occupancy
La1 La 0.0000 0.0000 0.0000 1
Tl1 Tl 0.3333 0.6667 0.2500 1
Cd1 Cd 0.3333 0.6667 0.7500 1
```

Summary:
E_form (eV/atom): -0.409
Crystal system: hexagonal
Magnetic moment (μB per formula unit): 0.00
Calculated volume (Å³/cell): 160.5

***

7.
Computed, not measured: a relaxed structure of LaCdW2 at the GGA-PBEsol level of DFT.

```
data_LaCdW2
_cell_length_a 3.2661
_cell_length_b 4.8014
_cell_length_c 10.0576
_cell_angle_alpha 90.00
_cell_angle_beta 90.00
_cell_angle_gamma 90.00
_space_group_name_H-M_alt 'C m m 2'
_space_group_IT_number 35
_space_group_name_Hall 'C 2 -2'
loop_
_atom_site_label
_atom_site_type_symbol
_atom_site_fract_x
_atom_site_fract_y
_atom_site_fract_z
_atom_site_occupancy
La1 La 0.0000 0.0000 0.0000 1
Cd1 Cd 0.0000 0.5000 0.2963 1
W1 W 0.0000 0.0000 0.5384 1
W2 W 0.0000 0.5000 0.7359 1
```

Summary:
E_form (eV/atom): 0.416
Crystal system: orthorhombic
Magnetic moment (μB per formula unit): 0.00
Calculated volume (Å³/cell): 157.7

***

8.
Computed, not measured: a relaxed structure of LaCd2W at the GGA-PBEsol level of DFT.

```
data_LaCd2W
_cell_length_a 3.3290
_cell_length_b 4.8069
_cell_length_c 10.8084
_cell_angle_alpha 90.00
_cell_angle_beta 90.00
_cell_angle_gamma 90.00
_space_group_name_H-M_alt 'I m m m'
_space_group_IT_number 71
_space_group_name_Hall '-I 2 2'
loop_
_atom_site_label
_atom_site_type_symbol
_atom_site_fract_x
_atom_site_fract_y
_atom_site_fract_z
_atom_site_occupancy
La1 La 0.0000 0.0000 0.0000 1
Cd1 Cd 0.0000 0.5000 0.2209 1
W1 W 0.0000 0.0000 0.5000 1
```

Summary:
ΔE to the lowest computed polymorph (eV/atom): 0.000
E_form (eV/atom): 0.429
Crystal system: orthorhombic
Magnetic moment (μB per formula unit): 0.00
Calculated volume (Å³/cell): 173.0

***

9.
Computed, not measured: a relaxed structure of La3CdW at the GGA-PBEsol level of DFT.

```
data_La3CdW
_cell_length_a 5.4616
_cell_length_b 5.4616
_cell_length_c 5.4616
_cell_angle_alpha 90.00
_cell_angle_beta 90.00
_cell_angle_gamma 90.00
_space_group_name_H-M_alt 'P m -3 m'
_space_group_IT_number 221
_space_group_name_Hall '-P 4 2 3'
loop_
_atom_site_label
_atom_site_type_symbol
_atom_site_fract_x
_atom_site_fract_y
_atom_site_fract_z
_atom_site_occupancy
La1 La 0.0000 0.0000 0.5000 1
Cd1 Cd 0.5000 0.5000 0.5000 1
W1 W 0.0000 0.0000 0.0000 1
```

Summary:
E_form (eV/atom): 0.407
Crystal system: cubic
Magnetic moment (μB per formula unit): 0.00
Calculated volume (Å³/cell): 162.9

***

10.
Computed, not measured: a relaxed structure of LaCd2W at the GGA-PBEsol level of DFT.

```
data_LaCd2W
_cell_length_a 10.9725
_cell_length_b 2.9829
_cell_length_c 5.3413
_cell_angle_alpha 90.00
_cell_angle_beta 101.81
_cell_angle_gamma 90.00
_space_group_name_H-M_alt 'C 1 2/m 1'
_space_group_IT_number 12
_space_group_name_Hall '-C 2y'
loop_
_atom_site_label
_atom_site_type_symbol
_atom_site_fract_x
_atom_site_fract_y
_atom_site_fract_z
_atom_site_occupancy
La1 La 0.0000 0.0000 0.0000 1
Cd1 Cd 0.2318 0.0000 0.7229 1
W1 W 0.0000 0.5000 0.5000 1
```

Summary:
ΔE to the lowest computed polymorph (eV/atom): 0.019
E_form (eV/atom): 0.448
Crystal system: monoclinic
Magnetic moment (μB per formula unit): 0.00
Calculated volume (Å³/cell): 171.1

***

11.
Computed, not measured: a relaxed structure of LaCdW at the GGA-PBEsol level of DFT.

```
data_LaCdW
_cell_length_a 2.9691
_cell_length_b 3.8897
_cell_length_c 11.6793
_cell_angle_alpha 90.00
_cell_angle_beta 90.00
_cell_angle_gamma 90.00
_space_group_name_H-M_alt 'I m m 2'
_space_group_IT_number 44
_space_group_name_Hall 'I 2 -2'
loop_
_atom_site_label
_atom_site_type_symbol
_atom_site_fract_x
_atom_site_fract_y
_atom_site_fract_z
_atom_site_occupancy
La1 La 0.0000 0.0000 0.0000 1
Cd1 Cd 0.0000 0.0000 0.2963 1
W1 W 0.0000 0.0000 0.6722 1
```

Summary:
ΔE to the lowest computed polymorph (eV/atom): 0.000
E_form (eV/atom): 0.645
Crystal system: orthorhombic
Magnetic moment (μB per formula unit): 0.00
Calculated volume (Å³/cell): 134.9

***

12.
Computed, not measured: a relaxed structure of LaCdW at the GGA-PBEsol level of DFT.

```
data_LaCdW
_cell_length_a 5.1435
_cell_length_b 5.1435
_cell_length_c 2.8618
_cell_angle_alpha 90.00
_cell_angle_beta 90.00
_cell_angle_gamma 120.00
_space_group_name_H-M_alt 'P -6 m 2'
_space_group_IT_number 187
_space_group_name_Hall 'P -6 2'
loop_
_atom_site_label
_atom_site_type_symbol
_atom_site_fract_x
_atom_site_fract_y
_atom_site_fract_z
_atom_site_occupancy
La1 La 0.0000 0.0000 0.0000 1
Cd1 Cd 0.6667 0.3333 0.5000 1
W1 W 0.3333 0.6667 0.5000 1
```

Summary:
ΔE to the lowest computed polymorph (eV/atom): 0.015
E_form (eV/atom): 0.660
Crystal system: hexagonal
Magnetic moment (μB per formula unit): 0.00
Calculated volume (Å³/cell): 65.6

***

13.
Computed, not measured: a relaxed structure of LaCd2W at the GGA-PBEsol level of DFT.

```
data_LaCd2W
_cell_length_a 5.7957
_cell_length_b 9.5803
_cell_length_c 3.0066
_cell_angle_alpha 90.00
_cell_angle_beta 90.00
_cell_angle_gamma 90.00
_space_group_name_H-M_alt 'C m m m'
_space_group_IT_number 65
_space_group_name_Hall '-C 2 2'
loop_
_atom_site_label
_atom_site_type_symbol
_atom_site_fract_x
_atom_site_fract_y
_atom_site_fract_z
_atom_site_occupancy
La1 La 0.0000 0.0000 0.0000 1
Cd1 Cd 0.2500 0.2500 0.5000 1
W1 W 0.0000 0.5000 0.0000 1
```

Summary:
ΔE to the lowest computed polymorph (eV/atom): 0.077
E_form (eV/atom): 0.506
Crystal system: orthorhombic
Magnetic moment (μB per formula unit): 0.00
Calculated volume (Å³/cell): 166.9

***

14.
Computed, not measured: a relaxed structure of LaCdW3 at the GGA-PBEsol level of DFT.

```
data_LaCdW3
_cell_length_a 4.8068
_cell_length_b 4.8068
_cell_length_c 4.8068
_cell_angle_alpha 90.00
_cell_angle_beta 90.00
_cell_angle_gamma 90.00
_space_group_name_H-M_alt 'P m -3 m'
_space_group_IT_number 221
_space_group_name_Hall '-P 4 2 3'
loop_
_atom_site_label
_atom_site_type_symbol
_atom_site_fract_x
_atom_site_fract_y
_atom_site_fract_z
_atom_site_occupancy
La1 La 0.0000 0.0000 0.0000 1
Cd1 Cd 0.5000 0.5000 0.5000 1
W1 W 0.0000 0.0000 0.5000 1
```

Summary:
E_form (eV/atom): 2.893
Crystal system: cubic
Magnetic moment (μB per formula unit): 0.00
Calculated volume (Å³/cell): 111.1

***

15.
Computed, not measured: a relaxed structure of LaY2Cd at the GGA-PBEsol level of DFT.

```
data_LaY2Cd
_cell_length_a 4.8427
_cell_length_b 4.8427
_cell_length_c 4.8410
_cell_angle_alpha 90.00
_cell_angle_beta 90.00
_cell_angle_gamma 90.00
_space_group_name_H-M_alt 'P 4/m m m'
_space_group_IT_number 123
_space_group_name_Hall '-P 4 2'
loop_
_atom_site_label
_atom_site_type_symbol
_atom_site_fract_x
_atom_site_fract_y
_atom_site_fract_z
_atom_site_occupancy
La1 La 0.0000 0.0000 0.0000 1
Y1 Y 0.0000 0.5000 0.5000 1
Cd1 Cd 0.5000 0.5000 0.0000 1
```

Summary:
E_form (eV/atom): -0.105
Crystal system: tetragonal
Magnetic moment (μB per formula unit): 0.00
Calculated volume (Å³/cell): 113.5